This record from the Alexandria database describes CsLiCuBr3 after structural relaxation. The functional is PBE.

Structure (CIF):
```
data_CsLiCuBr3
_chemical_formula_sum 'Cs4 Li4 Cu4 Br12'
_space_group_name_H-M_alt 'C 1 2/m 1'
_space_group_IT_number 12
_cell_length_a 14.890
_cell_length_b 7.816
_cell_length_c 7.814
_cell_angle_alpha 90.00
_cell_angle_beta 107.01
_cell_angle_gamma 90.00
loop_
_space_group_symop_operation_xyz
'x,y,z'
'-x,-y,-z'
'-x,y,-z'
'x,-y,z'
'x+1/2,y+1/2,z'
'-x+1/2,-y+1/2,-z'
'-x+1/2,y+1/2,-z'
'x+1/2,-y+1/2,z'
loop_
_atom_site_label
_atom_site_fract_x
_atom_site_fract_y
_atom_site_fract_z
Cs1 0.219 0.000 0.208
Li1 0.056 0.500 0.238
Cu1 0.000 0.229 0.500
Br1 0.049 0.246 0.800
Br2 0.222 0.500 0.299
```

Total energy ... -3.12 eV/atom
E_form (uncorrected) ... -1.138 eV per atom